(1)
KLiMg2Hg5 | PBE | relaxed

As for the energy: -17.91 eV for the cell shown. The formation energy comes out at -0.138 eV per atom. The value obtained for the density is 7.125 g/cm3. As for the volume: 28.42 A^3/atom. For the size of the total moment, the calculation gives 0.00 Bohr magnetons per cell.

a b c (Å): 5.0928 7.0615 14.2258
angles (deg): 90.00 90.00 90.00
Space group Immm (No. 71)
One atom of each set of equivalent atoms:
K 0.0000 0.0000 0.0000 x2
Li 0.0000 0.0000 0.5000 x2
Mg 0.0000 0.5000 0.1934 x4
Hg 0.0000 0.2283 0.3373 x8
Hg 0.0000 0.5000 0.0000 x2

***

(2)
Nd2YTm5 | PBE | relaxed

As for the polymorph energy (0 for the lowest one): 1.18 eV/f.u. As for the energy: -147.84 eV for the cell shown. The formation energy comes out at 0.175 eV per atom. The value obtained for the density is 7.972 g/cm3. As for the volume: 31.82 A^3/atom. For the size of the total moment, the calculation gives 0.00 Bohr magnetons per cell.

a b c (Å): 16.0894 9.8187 6.5210
angles (deg): 90.00 98.75 90.00
Space group C2/c (No. 15)
One atom of each set of equivalent atoms:
Nd 0.0777 0.2453 0.1144 x8
Y 0.2500 0.2500 0.0000 x4
Tm 0.0000 0.4417 0.7500 x4
Tm 0.1012 0.0886 0.6471 x8
Tm 0.1964 0.4117 0.5231 x8

***

(3)
ReGeSbI2 | PBE | relaxed

As for the polymorph energy (0 for the lowest one): 2.30 eV/f.u. As for the energy: -17.04 eV for the cell shown. The value obtained for the density is 5.996 g/cm3. As for the volume: 35.14 A^3/atom. For the size of the total moment, the calculation gives 4.33 Bohr magnetons per cell.

a b c (Å): 5.5648 5.5648 5.6740
angles (deg): 90.00 90.00 90.00
Space group P4/mmm (No. 123)
One atom of each set of equivalent atoms:
Re 0.0000 0.0000 0.0000 x1
Ge 0.5000 0.5000 0.5000 x1
Sb 0.5000 0.5000 0.0000 x1
I 0.0000 0.5000 0.5000 x2

***

(4)
LaCrIr2 | PBE | relaxed

As for the polymorph energy (0 for the lowest one): 2.00 eV/f.u. As for the energy: -93.53 eV for the cell shown. The formation energy comes out at 0.274 eV per atom. The value obtained for the density is 14.101 g/cm3. As for the volume: 16.94 A^3/atom. For the size of the total moment, the calculation gives 0.79 Bohr magnetons per cell.

a b c (Å): 2.8813 2.8813 28.2705
angles (deg): 90.00 90.00 120.00
Space group R-3m (No. 166, hexagonal axes)
One atom of each set of equivalent atoms:
La 0.0000 0.0000 0.0000 x3
Cr 0.0000 0.0000 0.5000 x3
Ir 0.0000 0.0000 0.2354 x6

***

(5)
NdErCdIn | PBE | relaxed

As for the energy: -58.32 eV for the cell shown. The formation energy comes out at -0.399 eV per atom. The value obtained for the density is 8.171 g/cm3. As for the volume: 27.37 A^3/atom. For the size of the total moment, the calculation gives 0.00 Bohr magnetons per cell.

a b c (Å): 7.5940 7.5940 7.5940
angles (deg): 90.00 90.00 90.00
Space group F-43m (No. 216)
One atom of each set of equivalent atoms:
Nd 0.0000 0.0000 0.0000 x4
Er 0.0000 0.0000 0.5000 x4
Cd 0.2500 0.2500 0.2500 x4
In 0.2500 0.2500 0.7500 x4

***

(6)
Sm3CuI3 | PBE | relaxed

As for the energy: -232.51 eV for the cell shown. The value obtained for the density is 6.396 g/cm3. As for the volume: 33.21 A^3/atom. For the size of the total moment, the calculation gives 0.00 Bohr magnetons per cell.

a b c (Å): 12.2973 12.2973 12.2973
angles (deg): 90.00 90.00 90.00
Space group I4_132 (No. 214)
One atom of each set of equivalent atoms:
Sm 0.1062 0.3562 0.1250 x24
Cu 0.1250 0.1250 0.1250 x8
I 0.1157 0.1343 0.6250 x24

***

(7)
Ac2SeBr2 | PBE | relaxed

As for the energy: -72.41 eV for the cell shown. The value obtained for the density is 6.036 g/cm3. As for the volume: 38.12 A^3/atom. For the size of the total moment, the calculation gives 0.00 Bohr magnetons per cell.

a b c (Å): 4.4815 4.4815 32.8740
angles (deg): 90.00 90.00 120.00
Space group R-3m (No. 166, hexagonal axes)
One atom of each set of equivalent atoms:
Ac 0.0000 0.0000 0.1154 x6
Se 0.0000 0.0000 0.5000 x3
Br 0.0000 0.0000 0.2756 x6

***

(8)
BaMgCu | PBE | relaxed

As for the energy: -29.13 eV for the cell shown. The formation energy comes out at 0.110 eV per atom. The value obtained for the density is 3.800 g/cm3. As for the volume: 32.80 A^3/atom. For the size of the total moment, the calculation gives 0.00 Bohr magnetons per cell.

a b c (Å): 7.3287 7.3287 7.3287
angles (deg): 90.00 90.00 90.00
Space group F-43m (No. 216)
One atom of each set of equivalent atoms:
Ba 0.0000 0.0000 0.0000 x4
Mg 0.0000 0.0000 0.5000 x4
Cu 0.2500 0.2500 0.2500 x4

***

(9)
BaAsSCl2 | PBE | relaxed

As for the polymorph energy (0 for the lowest one): 3.77 eV/f.u. As for the energy: -16.00 eV for the cell shown. The value obtained for the density is 2.292 g/cm3. As for the volume: 45.68 A^3/atom. For the size of the total moment, the calculation gives 0.97 Bohr magnetons per cell.

a b c (Å): 5.9047 5.9047 6.5507
angles (deg): 90.00 90.00 90.00
Space group P4/mmm (No. 123)
One atom of each set of equivalent atoms:
Ba 0.0000 0.0000 0.0000 x1
As 0.5000 0.5000 0.5000 x1
S 0.0000 0.0000 0.5000 x1
Cl 0.0000 0.5000 0.0000 x2

***

(10)
LiHgMo2 | PBE | relaxed

As for the energy: -22.36 eV for the cell shown. The formation energy comes out at 0.378 eV per atom. The value obtained for the density is 10.062 g/cm3. As for the volume: 16.48 A^3/atom. For the size of the total moment, the calculation gives 0.00 Bohr magnetons per cell.

a b c (Å): 2.7325 4.7791 5.1983
angles (deg): 90.00 103.83 90.00
Space group P2/m (No. 10)
One atom of each set of equivalent atoms:
Li 0.0000 0.0000 0.0000 x1
Hg 0.0000 0.0000 0.5000 x1
Mo 0.4997 0.5000 0.2327 x2

***

(11)
Rb2DyZn3F12 | PBE | relaxed

As for the energy: -245.48 eV for the cell shown. The value obtained for the density is 4.114 g/cm3. As for the volume: 16.99 A^3/atom. For the size of the total moment, the calculation gives 0.00 Bohr magnetons per cell.

a b c (Å): 7.4642 7.4642 19.0131
angles (deg): 90.00 90.00 120.00
Space group R-3m (No. 166, hexagonal axes)
One atom of each set of equivalent atoms:
Rb 0.0000 0.0000 0.1167 x6
Dy 0.0000 0.0000 0.5000 x3
Zn 0.0000 0.5000 0.0000 x9
F 0.0405 0.5202 0.1084 x18
F 0.0721 0.5360 0.3435 x18

***

(12)
RbTlAsP | PBE | relaxed

As for the polymorph energy (0 for the lowest one): 0.01 eV/f.u. As for the energy: -14.17 eV for the cell shown. The formation energy comes out at -0.194 eV per atom. The value obtained for the density is 5.196 g/cm3. As for the volume: 31.62 A^3/atom. For the size of the total moment, the calculation gives 0.00 Bohr magnetons per cell.

a b c (Å): 3.6207 5.3974 6.8776
angles (deg): 106.89 99.91 90.34
Space group P1 (No. 1)
One atom of each set of equivalent atoms:
Rb 0.0000 0.0000 0.0000 x1
Tl 0.6646 0.3490 0.5657 x1
As 0.1550 0.8015 0.4524 x1
P 0.5831 0.5814 0.2398 x1

***

(13)
BeCrPt3 | PBE | relaxed

As for the polymorph energy (0 for the lowest one): 6.15 eV/f.u. As for the energy: -25.50 eV for the cell shown. The formation energy comes out at 1.194 eV per atom. The value obtained for the density is 11.271 g/cm3. As for the volume: 19.04 A^3/atom. For the size of the total moment, the calculation gives 0.00 Bohr magnetons per cell.

a b c (Å): 4.5664 4.5664 4.5664
angles (deg): 90.00 90.00 90.00
Space group Pm-3m (No. 221)
One atom of each set of equivalent atoms:
Be 0.0000 0.0000 0.0000 x1
Cr 0.5000 0.5000 0.5000 x1
Pt 0.0000 0.5000 0.5000 x3

***

(14)
Rb2HfBF6 | PBE | relaxed

As for the energy: -109.17 eV for the cell shown. The value obtained for the density is 3.739 g/cm3. As for the volume: 21.06 A^3/atom. For the size of the total moment, the calculation gives 2.00 Bohr magnetons per cell.

a b c (Å): 6.3100 6.3100 10.5800
angles (deg): 90.00 90.00 90.00
Space group I4/mmm (No. 139)
One atom of each set of equivalent atoms:
Rb 0.0000 0.5000 0.2500 x4
Hf 0.0000 0.0000 0.0000 x2
B 0.0000 0.0000 0.5000 x2
F 0.0000 0.0000 0.1900 x4
F 0.2244 0.2244 0.0000 x8

***

(15)
CrSiAs | PBE | relaxed

As for the energy: -19.81 eV for the cell shown. The value obtained for the density is 5.776 g/cm3. As for the volume: 14.86 A^3/atom. For the size of the total moment, the calculation gives 0.52 Bohr magnetons per cell.

a b c (Å): 2.9279 2.9279 5.1984
angles (deg): 90.00 90.00 90.00
Space group P4mm (No. 99)
One atom of each set of equivalent atoms:
Cr 0.0000 0.0000 0.0000 x1
Si 0.5000 0.5000 0.2624 x1
As 0.5000 0.5000 0.7280 x1

***

(16)
Ce12PmTh3 | PBE | relaxed

As for the energy: -97.70 eV for the cell shown. The formation energy comes out at 0.032 eV per atom. The value obtained for the density is 9.338 g/cm3. As for the volume: 28.04 A^3/atom. For the size of the total moment, the calculation gives 0.00 Bohr magnetons per cell.

a b c (Å): 4.8107 4.8107 19.3825
angles (deg): 90.00 90.00 90.00
Space group P4/mmm (No. 123)
One atom of each set of equivalent atoms:
Ce 0.0000 0.0000 0.0000 x1
Ce 0.0000 0.0000 0.2482 x2
Ce 0.0000 0.0000 0.5000 x1
Ce 0.0000 0.5000 0.1245 x4
Ce 0.0000 0.5000 0.3728 x4
Pm 0.5000 0.5000 0.5000 x1
Th 0.5000 0.5000 0.0000 x1
Th 0.5000 0.5000 0.2493 x2

***

(17)
NbTeI | PBE | relaxed

As for the polymorph energy (0 for the lowest one): 0.60 eV/f.u. As for the energy: -31.31 eV for the cell shown. The value obtained for the density is 6.069 g/cm3. As for the volume: 31.68 A^3/atom. For the size of the total moment, the calculation gives 0.00 Bohr magnetons per cell.

a b c (Å): 6.8907 3.5806 8.0644
angles (deg): 90.00 107.17 90.00
Space group P2_1/m (No. 11)
One atom of each set of equivalent atoms:
Nb 0.1942 0.2500 0.0469 x2
Te 0.0872 0.7500 0.2751 x2
I 0.4505 0.2500 0.7980 x2

***

(18)
BaIN | PBE | relaxed

As for the energy: -58.16 eV for the cell shown. The value obtained for the density is 3.693 g/cm3. As for the volume: 41.71 A^3/atom. For the size of the total moment, the calculation gives 3.35 Bohr magnetons per cell.

a b c (Å): 10.5415 4.5634 10.7265
angles (deg): 90.00 104.10 90.00
Space group P2_1/c (No. 14)
One atom of each set of equivalent atoms:
Ba 0.2143 0.2391 0.4256 x4
I 0.1473 0.7490 0.1598 x4
N 0.4446 0.0388 0.9855 x4

***

(19)
CaFePH | PBE | relaxed

As for the energy: -44.63 eV for the cell shown. The value obtained for the density is 3.774 g/cm3. As for the volume: 14.07 A^3/atom. For the size of the total moment, the calculation gives 0.00 Bohr magnetons per cell.

a b c (Å): 3.7747 3.7747 7.8996
angles (deg): 90.00 90.00 90.00
Space group P4/nmm (No. 129, origin choice 2)
One atom of each set of equivalent atoms:
Ca 0.2500 0.2500 0.1586 x2
Fe 0.2500 0.7500 0.5000 x2
P 0.2500 0.2500 0.6447 x2
H 0.2500 0.7500 0.0000 x2

***

(20)
Cd5Fe | PBE | relaxed

As for the polymorph energy (0 for the lowest one): 1.88 eV/f.u. As for the energy: -10.02 eV for the cell shown. The formation energy comes out at 0.503 eV per atom. The value obtained for the density is 7.580 g/cm3. As for the volume: 22.56 A^3/atom. For the size of the total moment, the calculation gives 2.94 Bohr magnetons per cell.

a b c (Å): 5.5785 5.5785 5.0228
angles (deg): 90.00 90.00 120.00
Space group P6/mmm (No. 191)
One atom of each set of equivalent atoms:
Cd 0.0000 0.5000 0.0000 x3
Cd 0.3333 0.6667 0.5000 x2
Fe 0.0000 0.0000 0.5000 x1